Here is a relaxed La2SmPu3Te6 crystal from Alexandria via LeMat-Bulk. Energies are from PBE-GGA.

Summary:
Formation energy without anion corrections, eV/f.u.: -15.74

abc: 4.4759 8.9849 10.0254
angles: 102.58 102.90 90.00
Each line ends with the local moment (μB).
Atoms (fractional coordinates):
La 0.8344 0.6654 0.6688  0.02
La 0.1656 0.3346 0.3312  0.02
Sm 0.5000 0.0000 0.0000  0.01
Pu 0.5000 0.5000 0.0000  -5.53
Pu 0.8317 0.1637 0.6635  5.52
Pu 0.1683 0.8363 0.3365  5.52
Te 0.3336 0.9230 0.6673  -0.05
Te 0.6650 0.5912 0.3299  -0.02
Te 0.6664 0.0770 0.3327  -0.05
Te 0.9967 0.2493 0.9934  0.02
Te 0.0033 0.7507 0.0066  0.02
Te 0.3350 0.4088 0.6701  -0.02